# K2PtBr | Alexandria via LeMat-Bulk | PBE | relaxed
data_K2PtBr
_cell_length_a 4.619
_cell_length_b 4.619
_cell_length_c 12.231
_cell_angle_alpha 90.00
_cell_angle_beta 90.00
_cell_angle_gamma 90.00
_space_group_name_H-M_alt 'I -4 m 2'
_space_group_IT_number 119
_space_group_name_Hall 'I -4 -2'
loop_
_atom_site_label
_atom_site_type_symbol
_atom_site_fract_x
_atom_site_fract_y
_atom_site_fract_z
K1 K 0.000 0.000 0.000
K2 K 0.000 0.500 0.250
Pt1 Pt 0.000 0.500 0.750
Br1 Br 0.000 0.000 0.500
# VASP energy = -2.759 eV/atom
# E above lowest polymorph = 5.25 kcal/mol of atoms
# size of the total moment = 1.01 μB/f.u.